Entry 1:
Li3DyBi2S6 (PBE-GGA, relaxed); V = 256.30 Å³/f.u.
1.0
3.433 -5.955 0.000
3.433 5.955 0.000
-2.288 0.000 6.269
Li Dy Bi S
3 1 2 6
Direct
0.000 0.000 0.000 Li
0.324 0.676 0.000 Li
0.676 0.324 0.000 Li
0.500 0.500 0.500 Dy
0.166 0.834 0.500 Bi
0.834 0.166 0.500 Bi
0.088 0.414 0.242 S
0.259 0.259 0.757 S
0.414 0.088 0.242 S
0.586 0.912 0.758 S
0.741 0.741 0.243 S
0.912 0.586 0.758 S


Entry 2:
Dy3Si8Os3 (PBE-GGA, relaxed); V = 231.81 Å³/f.u.
1.0
7.512 -2.090 0.000
7.512 2.090 0.000
-4.097 0.000 7.382
Dy Si Os
3 8 3
Direct
0.000 0.000 0.000 Dy
0.295 0.295 0.343 Dy
0.705 0.705 0.657 Dy
0.117 0.117 0.382 Si
0.141 0.141 0.841 Si
0.363 0.363 0.749 Si
0.484 0.484 0.299 Si
0.516 0.516 0.701 Si
0.637 0.637 0.251 Si
0.859 0.859 0.159 Si
0.883 0.883 0.618 Si
0.000 0.000 0.500 Os
0.326 0.326 0.994 Os
0.674 0.674 0.006 Os


Entry 3:
Sn2SbPd7 (PBE-GGA, relaxed); V = 198.71 Å³/f.u.
1.0
3.899 -8.296 0.000
3.899 8.296 0.000
0.000 0.000 3.072
Sn Sb Pd
2 1 7
Direct
0.166 0.834 0.000 Sn
0.834 0.166 0.000 Sn
0.500 0.500 0.500 Sb
0.000 0.000 0.000 Pd
0.210 0.399 0.000 Pd
0.295 0.705 0.500 Pd
0.399 0.210 0.000 Pd
0.601 0.790 0.000 Pd
0.705 0.295 0.500 Pd
0.790 0.601 0.000 Pd


Number 1: E_tot -4.681 eV per atom. Number 2: E_tot -7.071 eV per atom. Number 3: E_tot -4.968 eV per atom.